Record 1
## DyNpRu2 (PBE)

Data for crystalline DyNpRu2 at its relaxed geometry. Values from VASP.

Quantum ESPRESSO input file:
```
&SYSTEM
  ibrav = 0, nat = 4, ntyp = 3
/
ATOMIC_SPECIES
Np 237.00 Np.upf
Ru 101.07 Ru.upf
Dy 162.50 Dy.upf
CELL_PARAMETERS angstrom
3.3528 0.0000 0.0000
0.0000 3.3528 0.0000
0.0000 0.0000 6.9205
ATOMIC_POSITIONS crystal
Np 0.5000 0.5000 0.0000
Ru 0.0000 0.0000 0.7747
Ru 0.0000 0.0000 0.2253
Dy 0.5000 0.5000 0.5000
```

Space group = No. 123
Energy relative to the elements = -0.2261 eV per atom
Calculated density = 12.842 g/cm3

---

Record 2
## Ac7Ir3 (PBE)

Data for crystalline Ac7Ir3 at its relaxed geometry. Values from VASP.

Quantum ESPRESSO input file:
```
&SYSTEM
  ibrav = 0, nat = 20, ntyp = 2
/
ATOMIC_SPECIES
Ac 227.00 Ac.upf
Ir 192.22 Ir.upf
CELL_PARAMETERS angstrom
-6.0929 -2.0610 -2.4228
1.9075 -9.8597 3.5902
-4.8959 7.1037 6.2696
ATOMIC_POSITIONS crystal
Ac 0.1517 0.6667 0.3333
Ac 0.6517 0.3333 0.6667
Ac 0.9416 0.8750 0.7500
Ac 0.9416 0.8750 0.1250
Ac 0.9416 0.2500 0.1250
Ac 0.4416 0.1250 0.2500
Ac 0.4416 0.1250 0.8750
Ac 0.4416 0.7500 0.8750
Ac 0.1104 0.4591 0.9182
Ac 0.1104 0.4591 0.5409
Ac 0.1104 0.0818 0.5409
Ac 0.6104 0.5409 0.0818
Ac 0.6104 0.5409 0.4591
Ac 0.6104 0.9182 0.4591
Ir 0.8667 0.1887 0.3774
Ir 0.8667 0.1887 0.8113
Ir 0.8667 0.6226 0.8113
Ir 0.3667 0.8113 0.6226
Ir 0.3667 0.8113 0.1887
Ir 0.3667 0.3774 0.1887
```

Space group = No. 186
Energy relative to the elements = -0.5085 eV per atom
Calculated density = 10.623 g/cm3

---

Record 3
## Tl2NiAs (PBE)

Data for crystalline Tl2NiAs at its relaxed geometry. Values from VASP.

Quantum ESPRESSO input file:
```
&SYSTEM
  ibrav = 0, nat = 4, ntyp = 3
/
ATOMIC_SPECIES
As 74.92 As.upf
Ni 58.69 Ni.upf
Tl 204.38 Tl.upf
CELL_PARAMETERS angstrom
-0.1536 -3.2616 2.8739
4.5464 1.2433 1.6541
-1.6410 2.4372 2.6783
ATOMIC_POSITIONS crystal
As 0.5000 0.0000 0.5000
Ni 0.0000 0.5000 0.5000
Tl 0.0000 0.0000 0.0000
Tl 0.5000 0.5000 0.0000
```

Space group = No. 47
Energy relative to the elements = 0.4567 eV per atom
Calculated density = 10.426 g/cm3